A geometry-optimized Pm4Y5Tm structure, computed with GGA-PBE.

a = 3.550 Å, b = 11.122 Å, c = 8.847 Å
α = 89.77°, β = 101.53°, γ = 90.00°
Fractional coordinates of all 10 atoms:
Tm 0.500 0.000 0.000
Pm 0.029 0.752 0.058
Pm 0.348 0.750 0.693
Pm 0.652 0.250 0.307
Pm 0.971 0.248 0.942
Y 0.827 0.055 0.653
Y 0.173 0.945 0.347
Y 0.174 0.558 0.349
Y 0.826 0.442 0.651
Y 0.500 0.500 0.000

Energy above the most stable polymorph in this dataset = 0.00 eV/f.u.
Crystal system = monoclinic
Volume = 342 Å³/cell
DFT total energy = -53.9 eV/cell
DOS at the Fermi energy = 14.2 states/eV/cell
DFT formation energy = 0.1865 eV per atom

---

A geometry-optimized Ni3Bi2S2 structure, computed with GGA-PBE.

a = 6.874 Å, b = 6.874 Å, c = 7.949 Å
α = 56.36°, β = 56.36°, γ = 72.88°
Fractional coordinates of all 14 atoms:
Bi 0.991 0.991 0.764
Ni 0.500 0.000 0.000
S 0.997 0.464 0.291
S 0.464 0.997 0.291
S 0.003 0.536 0.709
Bi 0.009 0.009 0.236
Ni 0.740 0.740 0.276
Ni 0.260 0.260 0.724
Ni 0.000 0.500 0.000
Bi 0.500 0.500 0.248
S 0.536 0.003 0.709
Ni 0.258 0.742 0.000
Ni 0.742 0.258 0.000
Bi 0.500 0.500 0.752

Energy above the most stable polymorph in this dataset = 0.03 eV/f.u.
Crystal system = monoclinic
Volume = 260 Å³/cell
DFT total energy = -70.9 eV/cell
DOS at the Fermi energy = 5.0 states/eV/cell
Energy relative to the elements, uncorrected = -0.30 eV/atom

---

Question: Look up the energy above the most stable polymorph in this dataset of the first one.
Answer: 0.00 eV/f.u.

---

Question: What is the formula in the first record?
Answer: Pm4Y5Tm

---

Copy entry 1 word for word.
A geometry-optimized Pm4Y5Tm structure, computed with GGA-PBE.

a = 3.550 Å, b = 11.122 Å, c = 8.847 Å
α = 89.77°, β = 101.53°, γ = 90.00°
Fractional coordinates of all 10 atoms:
Tm 0.500 0.000 0.000
Pm 0.029 0.752 0.058
Pm 0.348 0.750 0.693
Pm 0.652 0.250 0.307
Pm 0.971 0.248 0.942
Y 0.827 0.055 0.653
Y 0.173 0.945 0.347
Y 0.174 0.558 0.349
Y 0.826 0.442 0.651
Y 0.500 0.500 0.000

Energy above the most stable polymorph in this dataset = 0.00 eV/f.u.
Crystal system = monoclinic
Volume = 342 Å³/cell
DFT total energy = -53.9 eV/cell
DOS at the Fermi energy = 14.2 states/eV/cell
DFT formation energy = 0.1865 eV per atom